LaTaFeHg2 | PBE | optimized geometry

Lattice parameters (Å, degrees): 5.3952 5.3952 4.5143 90.00 90.00 90.00
Positions (direct):
La1 0.0000 0.0000 0.0000
Ta1 0.5000 0.5000 0.5000
Fe1 0.5000 0.5000 0.0000
Hg1 0.0000 0.5000 0.5000
Hg2 0.5000 0.0000 0.5000

Calculated values
ΔE_f (meV/atom): 516
E (eV/atom): -4.653
Magnetic moment (μB/f.u.): 1.42
DOS(E_F) (states/eV/f.u.): 8.2
V (Å³/atom): 26.3